# 1
Rb3TlCd8 (PBE, optimized geometry); density = 6.00 Mg/m³; crystal system = trigonal; SG = No. 160; formation energy = -0.03 eV per atom; VASP energy = -1.0791 eV per atom
1.0
-0.968 3.238 5.421
-4.232 -2.134 4.283
5.938 -5.302 7.990
Cd Tl Rb
8 1 3
Direct
0.443 0.938 0.681 Cd
0.934 0.436 0.195 Cd
0.938 0.938 0.681 Cd
0.436 0.934 0.195 Cd
0.436 0.436 0.195 Cd
0.938 0.443 0.681 Cd
0.688 0.688 0.936 Cd
0.188 0.188 0.436 Cd
0.876 0.876 0.372 Tl
0.375 0.375 0.876 Rb
0.997 0.997 0.010 Rb
0.503 0.503 0.492 Rb

***

# 2
Na2SrRu (PBE, optimized geometry); density = 3.75 Mg/m³; crystal system = cubic; SG = No. 225; ΔE to the lowest computed polymorph = 0.0205 eV per atom; formation energy = 0.73 eV per atom; VASP energy = -2.6725 eV per atom
1.0
0.000 3.733 3.733
3.733 0.000 3.733
3.733 3.733 0.000
Ru Na Sr
1 2 1
Direct
0.500 0.500 0.500 Ru
0.750 0.750 0.750 Na
0.250 0.250 0.250 Na
0.000 0.000 0.000 Sr

***

Question: Which value of VASP energy does entry 2 give?
Answer: -2.6725 eV per atom